# ZrBeRu

ZrBeRu after structural relaxation (PBE, Alexandria).

Output
ΔE_f = -0.39 eV/atom
energy above the most stable polymorph in this dataset = 0.20 eV/f.u.
crystal system = orthorhombic
Fermi-level density of states = 5.241 states/eV per cell
calculated density = 7.25 g cm⁻³

Structure (CIF):
```
data_ZrBeRu
_space_group_name_H-M_alt 'P 1'
_space_group_IT_number 1
_space_group_name_Hall 'P 1'
_cell_length_a 3.753
_cell_length_b 3.700
_cell_length_c 13.277
_cell_angle_alpha 90.00
_cell_angle_beta 90.00
_cell_angle_gamma 90.00
loop_
_atom_site_label
_atom_site_fract_x
_atom_site_fract_y
_atom_site_fract_z
Be1 0.000 0.500 0.500
Zr1 0.500 0.500 0.669
Be2 0.500 0.000 0.000
Ru1 0.500 0.500 0.888
Be3 0.500 0.000 0.500
Ru2 0.500 0.500 0.112
Zr2 0.000 0.000 0.831
Zr3 0.000 0.000 0.169
Zr4 0.500 0.500 0.331
Ru3 0.000 0.000 0.612
Be4 0.000 0.500 0.000
Ru4 0.000 0.000 0.388
```

# ZrBe2Ru2

ZrBe2Ru2 after structural relaxation (PBE, Alexandria).

Output
ΔE_f = -0.18 eV/atom
energy above the most stable polymorph in this dataset = 1.30 eV/f.u.
crystal system = tetragonal
Fermi-level density of states = 8.232 states/eV per cell
calculated density = 7.71 g cm⁻³

Structure (CIF):
```
data_ZrBe2Ru2
_space_group_name_H-M_alt 'P 1'
_space_group_IT_number 1
_space_group_name_Hall 'P 1'
_cell_length_a 6.821
_cell_length_b 6.821
_cell_length_c 2.885
_cell_angle_alpha 90.00
_cell_angle_beta 90.00
_cell_angle_gamma 90.00
loop_
_atom_site_label
_atom_site_fract_x
_atom_site_fract_y
_atom_site_fract_z
Be1 0.860 0.360 0.500
Ru1 0.146 0.354 0.000
Be2 0.140 0.640 0.500
Zr1 0.500 0.500 0.000
Be3 0.360 0.140 0.500
Ru2 0.354 0.854 0.000
Zr2 0.000 0.000 0.000
Ru3 0.646 0.146 0.000
Be4 0.640 0.860 0.500
Ru4 0.854 0.646 0.000
```

# ZrBeRu2

ZrBeRu2 after structural relaxation (PBE, Alexandria).

Output
ΔE_f = -0.19 eV/atom
crystal system = monoclinic
Fermi-level density of states = 2.932 states/eV per cell
calculated density = 8.56 g cm⁻³

Structure (CIF):
```
data_ZrBeRu2
_space_group_name_H-M_alt 'P 1'
_space_group_IT_number 1
_space_group_name_Hall 'P 1'
_cell_length_a 5.158
_cell_length_b 5.158
_cell_length_c 4.209
_cell_angle_alpha 65.86
_cell_angle_beta 65.86
_cell_angle_gamma 35.44
loop_
_atom_site_label
_atom_site_fract_x
_atom_site_fract_y
_atom_site_fract_z
Ru1 0.261 0.261 0.239
Zr1 0.498 0.498 0.503
Ru2 0.010 0.010 0.990
Be1 0.731 0.731 0.767
```

# ZrBeRu

ZrBeRu after structural relaxation (PBE, Alexandria).

Output
ΔE_f = -0.33 eV/atom
energy above the most stable polymorph in this dataset = 0.36 eV/f.u.
crystal system = monoclinic
Fermi-level density of states = 6.103 states/eV per cell
calculated density = 7.37 g cm⁻³

Structure (CIF):
```
data_ZrBeRu
_space_group_name_H-M_alt 'P 1'
_space_group_IT_number 1
_space_group_name_Hall 'P 1'
_cell_length_a 7.091
_cell_length_b 3.278
_cell_length_c 9.628
_cell_angle_alpha 90.00
_cell_angle_beta 125.89
_cell_angle_gamma 90.00
loop_
_atom_site_label
_atom_site_fract_x
_atom_site_fract_y
_atom_site_fract_z
Be1 0.332 0.500 0.459
Ru1 0.989 0.500 0.169
Zr1 0.363 0.000 0.256
Be2 0.696 0.000 0.012
Ru2 0.573 0.000 0.647
Zr2 0.363 0.500 0.756
Zr3 0.958 0.500 0.888
Ru3 0.989 0.000 0.669
Zr4 0.958 0.000 0.388
Be3 0.696 0.500 0.512
Be4 0.332 0.000 0.959
Ru4 0.573 0.500 0.147
```

# ZrBeRu2

ZrBeRu2 after structural relaxation (PBE, Alexandria).

Output
ΔE_f = -0.08 eV/atom
crystal system = monoclinic
Fermi-level density of states = 3.274 states/eV per cell
calculated density = 8.46 g cm⁻³

Structure (CIF):
```
data_ZrBeRu2
_space_group_name_H-M_alt 'P 1'
_space_group_IT_number 1
_space_group_name_Hall 'P 1'
_cell_length_a 3.012
_cell_length_b 4.792
_cell_length_c 5.304
_cell_angle_alpha 50.84
_cell_angle_beta 90.00
_cell_angle_gamma 90.00
loop_
_atom_site_label
_atom_site_fract_x
_atom_site_fract_y
_atom_site_fract_z
Zr1 0.500 0.500 0.500
Ru1 0.500 0.500 0.000
Be1 0.000 0.000 0.500
Ru2 0.000 0.000 0.000
```

# Zr2BeRu

Zr2BeRu after structural relaxation (PBE, Alexandria).

Output
ΔE_f = -0.35 eV/atom
crystal system = tetragonal
Fermi-level density of states = 1.575 states/eV per cell
calculated density = 7.19 g cm⁻³

Structure (CIF):
```
data_Zr2BeRu
_space_group_name_H-M_alt 'P 1'
_space_group_IT_number 1
_space_group_name_Hall 'P 1'
_cell_length_a 3.252
_cell_length_b 3.252
_cell_length_c 6.388
_cell_angle_alpha 90.00
_cell_angle_beta 90.00
_cell_angle_gamma 89.98
loop_
_atom_site_label
_atom_site_fract_x
_atom_site_fract_y
_atom_site_fract_z
Ru1 0.500 0.500 0.750
Zr1 0.000 0.000 0.493
Be1 0.500 0.500 0.250
Zr2 0.000 0.000 0.007
```

# ZrBeRu

ZrBeRu after structural relaxation (PBE, Alexandria).

Output
ΔE_f = -0.31 eV/atom
energy above the most stable polymorph in this dataset = 0.42 eV/f.u.
crystal system = orthorhombic
Fermi-level density of states = 7.873 states/eV per cell
calculated density = 7.30 g cm⁻³

Structure (CIF):
```
data_ZrBeRu
_space_group_name_H-M_alt 'P 1'
_space_group_IT_number 1
_space_group_name_Hall 'P 1'
_cell_length_a 3.962
_cell_length_b 6.413
_cell_length_c 7.211
_cell_angle_alpha 90.00
_cell_angle_beta 90.00
_cell_angle_gamma 90.00
loop_
_atom_site_label
_atom_site_fract_x
_atom_site_fract_y
_atom_site_fract_z
Be1 0.500 0.198 0.308
Zr1 0.000 0.500 0.440
Be2 0.500 0.802 0.308
Zr2 0.500 0.000 0.940
Ru1 0.500 0.266 0.635
Zr3 0.500 0.500 0.017
Be3 0.000 0.302 0.808
Be4 0.000 0.698 0.808
Ru2 0.000 0.766 0.135
Ru3 0.000 0.234 0.135
Zr4 0.000 0.000 0.517
Ru4 0.500 0.734 0.635
```

# Zr2BeRu

Zr2BeRu after structural relaxation (PBE, Alexandria).

Output
ΔE_f = -0.06 eV/atom
crystal system = cubic
Fermi-level density of states = 1.577 states/eV per cell
calculated density = 7.37 g cm⁻³

Structure (CIF):
```
data_Zr2BeRu
_space_group_name_H-M_alt 'P 1'
_space_group_IT_number 1
_space_group_name_Hall 'P 1'
_cell_length_a 4.533
_cell_length_b 4.533
_cell_length_c 4.533
_cell_angle_alpha 60.00
_cell_angle_beta 60.00
_cell_angle_gamma 60.00
loop_
_atom_site_label
_atom_site_fract_x
_atom_site_fract_y
_atom_site_fract_z
Be1 0.500 0.500 0.500
Ru1 0.750 0.750 0.750
Zr1 0.000 0.000 0.000
Zr2 0.250 0.250 0.250
```

# ZrBe2Ru2

ZrBe2Ru2 after structural relaxation (PBE, Alexandria).

Output
ΔE_f = -0.16 eV/atom
energy above the most stable polymorph in this dataset = 1.40 eV/f.u.
crystal system = tetragonal
Fermi-level density of states = 1.280 states/eV per cell
calculated density = 7.41 g cm⁻³

Structure (CIF):
```
data_ZrBe2Ru2
_space_group_name_H-M_alt 'P 1'
_space_group_IT_number 1
_space_group_name_Hall 'P 1'
_cell_length_a 3.896
_cell_length_b 3.896
_cell_length_c 5.361
_cell_angle_alpha 68.69
_cell_angle_beta 68.69
_cell_angle_gamma 90.00
loop_
_atom_site_label
_atom_site_fract_x
_atom_site_fract_y
_atom_site_fract_z
Ru1 0.631 0.631 0.737
Ru2 0.369 0.369 0.263
Be1 0.750 0.250 0.500
Be2 0.250 0.750 0.500
Zr1 0.000 0.000 0.000
```

# ZrBeRu

ZrBeRu after structural relaxation (PBE, Alexandria).

Output
ΔE_f = 0.65 eV/atom
energy above the most stable polymorph in this dataset = 3.30 eV/f.u.
crystal system = cubic
Fermi-level density of states = 1.604 states/eV per cell
calculated density = 5.97 g cm⁻³

Structure (CIF):
```
data_ZrBeRu
_space_group_name_H-M_alt 'P 1'
_space_group_IT_number 1
_space_group_name_Hall 'P 1'
_cell_length_a 4.293
_cell_length_b 4.293
_cell_length_c 4.293
_cell_angle_alpha 60.00
_cell_angle_beta 60.00
_cell_angle_gamma 60.00
loop_
_atom_site_label
_atom_site_fract_x
_atom_site_fract_y
_atom_site_fract_z
Be1 0.000 0.000 0.000
Ru1 0.500 0.500 0.500
Zr1 0.750 0.750 0.750
```

# ZrBeRu2

ZrBeRu2 after structural relaxation (PBE, Alexandria).

Output
ΔE_f = 0.08 eV/atom
crystal system = cubic
Fermi-level density of states = 6.235 states/eV per cell
calculated density = 8.38 g cm⁻³

Structure (CIF):
```
data_ZrBeRu2
_space_group_name_H-M_alt 'P 1'
_space_group_IT_number 1
_space_group_name_Hall 'P 1'
_cell_length_a 4.391
_cell_length_b 4.391
_cell_length_c 4.391
_cell_angle_alpha 60.00
_cell_angle_beta 60.00
_cell_angle_gamma 60.00
loop_
_atom_site_label
_atom_site_fract_x
_atom_site_fract_y
_atom_site_fract_z
Be1 0.500 0.500 0.500
Ru1 0.000 0.000 0.000
Ru2 0.750 0.750 0.750
Zr1 0.250 0.250 0.250
```

# ZrBeRu

ZrBeRu after structural relaxation (PBE, Alexandria).

Output
ΔE_f = -0.42 eV/atom
energy above the most stable polymorph in this dataset = 0.08 eV/f.u.
crystal system = orthorhombic
Fermi-level density of states = 10.872 states/eV per cell
calculated density = 7.47 g cm⁻³

Structure (CIF):
```
data_ZrBeRu
_space_group_name_H-M_alt 'P 1'
_space_group_IT_number 1
_space_group_name_Hall 'P 1'
_cell_length_a 3.313
_cell_length_b 9.605
_cell_length_c 5.622
_cell_angle_alpha 90.00
_cell_angle_beta 90.00
_cell_angle_gamma 90.00
loop_
_atom_site_label
_atom_site_fract_x
_atom_site_fract_y
_atom_site_fract_z
Ru1 0.000 0.002 0.567
Be1 0.000 0.405 0.319
Ru2 0.000 0.998 0.067
Zr1 0.000 0.685 0.319
Ru3 0.500 0.498 0.067
Zr2 0.500 0.185 0.319
Zr3 0.000 0.315 0.819
Be2 0.500 0.905 0.319
Zr4 0.500 0.815 0.819
Ru4 0.500 0.502 0.567
Be3 0.500 0.095 0.819
Be4 0.000 0.595 0.819
```